NaTiCuP2: relaxed, GGA-PBE. Values from VASP.

Output
ΔH_f (0 K)	2.852	eV per formula unit

The structure in Quantum ESPRESSO input format:
```
&SYSTEM
  ibrav = 0, nat = 5, ntyp = 4
/
ATOMIC_SPECIES
Na 22.99 Na.upf
Ti 47.87 Ti.upf
Cu 63.55 Cu.upf
P 30.97 P.upf
CELL_PARAMETERS angstrom
4.559 0.000 0.000
0.000 4.559 0.000
0.000 0.000 4.363
ATOMIC_POSITIONS crystal
Na 0.000 0.000 0.000
Ti 0.500 0.500 0.000
Cu 0.000 0.000 0.500
P 0.000 0.500 0.500
P 0.500 0.000 0.500
```